(1)
A plane-wave DFT calculation with PBE was carried out for crystalline CuBPb2Au at its relaxed geometry.

Output
crystal system: tetragonal

abc: 5.1419 3.9689 5.1419
angles: 90.00 90.00 90.00
With the nearest neighbours (Å) after each atom.
Element x y z (fractional)
Pb 0.0000 0.0000 0.5000  2 B 2.57
Pb 0.5000 0.0000 0.0000  2 B 2.57
B 0.0000 0.0000 0.0000  2 Cu 1.98
Au 0.5000 0.5000 0.5000  8 Pb 3.25, 4 Cu 3.64
Cu 0.0000 0.5000 0.0000  2 B 1.98

=====

(2)
A plane-wave DFT calculation with PBE was carried out for crystalline CuBPd2Au at its relaxed geometry.

Output
crystal system: tetragonal

abc: 4.1485 4.1485 4.1191
angles: 90.00 90.00 90.00
With the nearest neighbours (Å) after each atom.
Element x y z (fractional)
B 0.0000 0.0000 0.0000  2 Cu 2.06, 4 Pd 2.07
Au 0.5000 0.5000 0.5000  8 Pd 2.92, 4 Cu 2.93
Cu 0.0000 0.0000 0.5000  2 B 2.06
Pd 0.0000 0.5000 0.0000  2 B 2.07
Pd 0.5000 0.0000 0.0000  2 B 2.07

=====

(3)
A plane-wave DFT calculation with PBE was carried out for crystalline Cu2BPtAu at its relaxed geometry.

Output
crystal system: tetragonal

abc: 4.6935 5.1090 4.6935
angles: 90.00 90.00 90.00
With the nearest neighbours (Å) after each atom.
Element x y z (fractional)
B 0.5000 0.5000 0.5000  4 Au 3.32, 8 Cu 3.47
Au 0.0000 0.5000 0.0000  2 Pt 2.55
Cu 0.0000 0.0000 0.5000  2 Pt 2.35
Cu 0.5000 0.0000 0.0000  2 Pt 2.35
Pt 0.0000 0.0000 0.0000  4 Cu 2.35, 2 Au 2.55

=====

Q: Which E_form values were calculated for the entries above? A: 2.27 -0.04 8.22, in eV per formula unit.